(1)
Compound: MgCo6O2F10
Source: Alexandria
Functional: GGA+U
Structure: relaxed

CIF file:
```
data_MgCo6O2F10
_symmetry_space_group_name_H-M 'P 1'
_symmetry_Int_Tables_number 1
_cell_length_a 5.3020
_cell_length_b 5.3400
_cell_length_c 9.7976
_cell_angle_alpha 75.46
_cell_angle_beta 81.97
_cell_angle_gamma 76.76
loop_
_symmetry_equiv_pos_as_xyz
'x,y,z'
loop_
_atom_site_label
_atom_site_fract_x
_atom_site_fract_y
_atom_site_fract_z
Mg1 0.0000 0.0000 0.0000
Co1 0.1803 0.4436 0.4470
Co2 0.2484 0.5231 0.7139
Co3 0.4564 0.8758 0.2033
Co4 0.7007 0.6140 0.9293
Co5 0.7310 0.9377 0.5727
Co6 0.7407 0.3050 0.2557
O1 0.0408 0.6850 0.5650
O2 0.4153 0.5259 0.2903
F1 0.0503 0.3539 0.8854
F2 0.0832 0.0916 0.1782
F3 0.3692 0.8310 0.9973
F4 0.4175 0.2109 0.6145
F5 0.5543 0.6523 0.7406
F6 0.5941 0.9679 0.3680
F7 0.6485 0.2378 0.0560
F8 0.8321 0.6922 0.1106
F9 0.9029 0.2487 0.4419
F10 0.9061 0.8947 0.8355
```

VASP energy = -5.202 eV/atom
total magnetization = 0.950 μB/atom


(2)
Compound: Rb2MgCo3F12
Source: Alexandria
Functional: GGA+U
Structure: relaxed

CIF file:
```
data_Rb2MgCo3F12
_symmetry_space_group_name_H-M 'R -3 m'
_symmetry_Int_Tables_number 166
_symmetry_space_group_name_Hall '-R 3 2"'
_cell_length_a 7.3510
_cell_length_b 7.3510
_cell_length_c 17.4268
_cell_angle_alpha 90.00
_cell_angle_beta 90.00
_cell_angle_gamma 120.00
loop_
_atom_site_label
_atom_site_fract_x
_atom_site_fract_y
_atom_site_fract_z
Rb1 0.0000 0.0000 0.1250
Mg1 0.0000 0.0000 0.5000
Co1 0.0000 0.5000 0.0000
F1 0.0684 0.5342 0.1055
F2 0.0716 0.5358 0.3563
```

VASP energy = -4.717 eV/atom
total magnetization = 0.389 μB/atom


(3)
Compound: Rb2MgCoF6
Source: Alexandria
Functional: GGA+U
Structure: relaxed

CIF file:
```
data_Rb2MgCoF6
_symmetry_space_group_name_H-M 'I 4/m m m'
_symmetry_Int_Tables_number 139
_symmetry_space_group_name_Hall '-I 4 2'
_cell_length_a 5.8930
_cell_length_b 5.8930
_cell_length_c 8.2301
_cell_angle_alpha 90.00
_cell_angle_beta 90.00
_cell_angle_gamma 90.00
loop_
_atom_site_label
_atom_site_fract_x
_atom_site_fract_y
_atom_site_fract_z
Rb1 0.0000 0.5000 0.2500
Mg1 0.0000 0.0000 0.0000
Co1 0.0000 0.0000 0.5000
F1 0.0000 0.0000 0.2510
F2 0.2455 0.2455 0.0000
```

VASP energy = -4.741 eV/atom
total magnetization = 0.300 μB/atom


(4)
Compound: RbMgCoF6
Source: Alexandria
Functional: GGA+U
Structure: relaxed

CIF file:
```
data_RbMgCoF6
_symmetry_space_group_name_H-M 'I m m a'
_symmetry_Int_Tables_number 74
_symmetry_space_group_name_Hall '-I 2b 2'
_cell_length_a 7.2721
_cell_length_b 7.3646
_cell_length_c 10.2845
_cell_angle_alpha 90.00
_cell_angle_beta 90.00
_cell_angle_gamma 90.00
loop_
_atom_site_label
_atom_site_fract_x
_atom_site_fract_y
_atom_site_fract_z
Rb1 0.0000 0.2500 0.1120
Mg1 0.2500 0.2500 0.7500
Co1 0.0000 0.0000 0.5000
F1 0.0000 0.2500 0.4288
F2 0.0000 0.2500 0.8215
F3 0.1911 0.0511 0.6211
```

VASP energy = -4.820 eV/atom
total magnetization = 0.441 μB/atom


(5)
Compound: MgCo2ReF
Source: Alexandria
Functional: GGA+U
Structure: relaxed

CIF file:
```
data_MgCo2ReF
_symmetry_space_group_name_H-M 'P 4/m m m'
_symmetry_Int_Tables_number 123
_symmetry_space_group_name_Hall '-P 4 2'
_cell_length_a 4.1758
_cell_length_b 4.1758
_cell_length_c 4.1840
_cell_angle_alpha 90.00
_cell_angle_beta 90.00
_cell_angle_gamma 90.00
loop_
_atom_site_label
_atom_site_fract_x
_atom_site_fract_y
_atom_site_fract_z
Mg1 0.0000 0.0000 0.0000
Co1 0.0000 0.5000 0.5000
Re1 0.5000 0.5000 0.0000
F1 0.5000 0.5000 0.5000
```

VASP energy = -4.403 eV/atom
total magnetization = 0.995 μB/atom


(6)
Compound: Mg2CoSF
Source: Alexandria
Functional: GGA+U
Structure: relaxed

CIF file:
```
data_Mg2CoSF
_symmetry_space_group_name_H-M 'P 4/m m m'
_symmetry_Int_Tables_number 123
_symmetry_space_group_name_Hall '-P 4 2'
_cell_length_a 4.8156
_cell_length_b 4.8156
_cell_length_c 3.8953
_cell_angle_alpha 90.00
_cell_angle_beta 90.00
_cell_angle_gamma 90.00
loop_
_atom_site_label
_atom_site_fract_x
_atom_site_fract_y
_atom_site_fract_z
Mg1 0.0000 0.5000 0.0000
Co1 0.0000 0.0000 0.0000
S1 0.0000 0.0000 0.5000
F1 0.5000 0.5000 0.5000
```

VASP energy = -3.454 eV/atom
total magnetization = 0.020 μB/atom


(7)
Compound: MgTa2CoF
Source: Alexandria
Functional: GGA+U
Structure: relaxed

CIF file:
```
data_MgTa2CoF
_symmetry_space_group_name_H-M 'P 4/m m m'
_symmetry_Int_Tables_number 123
_symmetry_space_group_name_Hall '-P 4 2'
_cell_length_a 4.3246
_cell_length_b 4.3246
_cell_length_c 4.1364
_cell_angle_alpha 90.00
_cell_angle_beta 90.00
_cell_angle_gamma 90.00
loop_
_atom_site_label
_atom_site_fract_x
_atom_site_fract_y
_atom_site_fract_z
Mg1 0.0000 0.0000 0.0000
Ta1 0.0000 0.5000 0.5000
Co1 0.5000 0.5000 0.0000
F1 0.0000 0.0000 0.5000
```

VASP energy = -6.207 eV/atom
total magnetization = 0.428 μB/atom


(8)
Compound: Mg2Tl3CoF9
Source: Alexandria
Functional: GGA+U
Structure: relaxed

CIF file:
```
data_Mg2Tl3CoF9
_symmetry_space_group_name_H-M 'P -3 m 1'
_symmetry_Int_Tables_number 164
_symmetry_space_group_name_Hall '-P 3 2"'
_cell_length_a 5.8831
_cell_length_b 5.8831
_cell_length_c 7.2083
_cell_angle_alpha 90.00
_cell_angle_beta 90.00
_cell_angle_gamma 120.00
loop_
_atom_site_label
_atom_site_fract_x
_atom_site_fract_y
_atom_site_fract_z
Mg1 0.3333 0.6667 0.1627
Tl1 0.0000 0.0000 0.0000
Tl2 0.3333 0.6667 0.6636
Co1 0.0000 0.0000 0.5000
F1 0.0000 0.5000 0.0000
F2 0.1689 0.3377 0.3313
```

VASP energy = -4.702 eV/atom
total magnetization = 0.204 μB/atom


(9)
Compound: MgTl2Co3F12
Source: Alexandria
Functional: GGA+U
Structure: relaxed

CIF file:
```
data_MgTl2Co3F12
_symmetry_space_group_name_H-M 'R -3 m'
_symmetry_Int_Tables_number 166
_symmetry_space_group_name_Hall '-R 3 2"'
_cell_length_a 7.3459
_cell_length_b 7.3459
_cell_length_c 17.4420
_cell_angle_alpha 90.00
_cell_angle_beta 90.00
_cell_angle_gamma 120.00
loop_
_atom_site_label
_atom_site_fract_x
_atom_site_fract_y
_atom_site_fract_z
Mg1 0.0000 0.0000 0.0000
Tl1 0.0000 0.0000 0.3771
Co1 0.0000 0.5000 0.5000
F1 0.0686 0.5343 0.6054
F2 0.0711 0.5356 0.8562
```

VASP energy = -4.626 eV/atom
total magnetization = 0.389 μB/atom


(10)
Compound: Mn2CoF
Source: Alexandria
Functional: GGA+U
Structure: relaxed

CIF file:
```
data_Mn2CoF
_symmetry_space_group_name_H-M 'F m -3 m'
_symmetry_Int_Tables_number 225
_symmetry_space_group_name_Hall '-F 4 2 3'
_cell_length_a 5.5071
_cell_length_b 5.5071
_cell_length_c 5.5071
_cell_angle_alpha 90.00
_cell_angle_beta 90.00
_cell_angle_gamma 90.00
loop_
_atom_site_label
_atom_site_fract_x
_atom_site_fract_y
_atom_site_fract_z
Mn1 0.2500 0.2500 0.2500
Co1 0.0000 0.0000 0.0000
F1 0.0000 0.0000 0.5000
```

VASP energy = -3.247 eV/atom
total magnetization = 0.000 μB/atom


(11)
Compound: MnCoF2
Source: Alexandria
Functional: GGA+U
Structure: relaxed

CIF file:
```
data_MnCoF2
_symmetry_space_group_name_H-M 'I -4 2 d'
_symmetry_Int_Tables_number 122
_symmetry_space_group_name_Hall 'I -4 2bw'
_cell_length_a 4.3043
_cell_length_b 4.3043
_cell_length_c 12.6892
_cell_angle_alpha 90.00
_cell_angle_beta 90.00
_cell_angle_gamma 90.00
loop_
_atom_site_label
_atom_site_fract_x
_atom_site_fract_y
_atom_site_fract_z
Mn1 0.0000 0.0000 0.0000
Co1 0.0000 0.0000 0.5000
F1 0.2399 0.2500 0.1250
```

VASP energy = -5.161 eV/atom
total magnetization = 1.770 μB/atom


(12)
Compound: MnCoF2
Source: Alexandria
Functional: GGA+U
Structure: relaxed

CIF file:
```
data_MnCoF2
_symmetry_space_group_name_H-M 'R -3 m'
_symmetry_Int_Tables_number 166
_symmetry_space_group_name_Hall '-R 3 2"'
_cell_length_a 3.1398
_cell_length_b 3.1398
_cell_length_c 20.4535
_cell_angle_alpha 90.00
_cell_angle_beta 90.00
_cell_angle_gamma 120.00
loop_
_atom_site_label
_atom_site_fract_x
_atom_site_fract_y
_atom_site_fract_z
Mn1 0.0000 0.0000 0.0000
Co1 0.0000 0.0000 0.5000
F1 0.0000 0.0000 0.1093
```

VASP energy = -5.242 eV/atom
total magnetization = 1.823 μB/atom


(13)
Compound: Mn2CoF
Source: Alexandria
Functional: GGA+U
Structure: relaxed

CIF file:
```
data_Mn2CoF
_symmetry_space_group_name_H-M 'I -4 2 d'
_symmetry_Int_Tables_number 122
_symmetry_space_group_name_Hall 'I -4 2bw'
_cell_length_a 6.3859
_cell_length_b 6.3859
_cell_length_c 6.2251
_cell_angle_alpha 90.00
_cell_angle_beta 90.00
_cell_angle_gamma 90.00
loop_
_atom_site_label
_atom_site_fract_x
_atom_site_fract_y
_atom_site_fract_z
Mn1 0.1982 0.7500 0.1250
Co1 0.0000 0.0000 0.5000
F1 0.0000 0.0000 0.0000
```

VASP energy = -5.499 eV/atom
total magnetization = 2.749 μB/atom


(14)
Compound: MnCoF2
Source: Alexandria
Functional: GGA+U
Structure: relaxed

CIF file:
```
data_MnCoF2
_symmetry_space_group_name_H-M 'F m -3 m'
_symmetry_Int_Tables_number 225
_symmetry_space_group_name_Hall '-F 4 2 3'
_cell_length_a 5.8770
_cell_length_b 5.8770
_cell_length_c 5.8770
_cell_angle_alpha 90.00
_cell_angle_beta 90.00
_cell_angle_gamma 90.00
loop_
_atom_site_label
_atom_site_fract_x
_atom_site_fract_y
_atom_site_fract_z
Mn1 0.0000 0.0000 0.0000
Co1 0.0000 0.0000 0.5000
F1 0.2500 0.2500 0.2500
```

VASP energy = -4.843 eV/atom
total magnetization = 1.797 μB/atom


(15)
Compound: Mn2CoF5
Source: Alexandria
Functional: GGA+U
Structure: relaxed

CIF file:
```
data_Mn2CoF5
_symmetry_space_group_name_H-M 'C 1 2/c 1'
_symmetry_Int_Tables_number 15
_cell_length_a 9.2176
_cell_length_b 8.0419
_cell_length_c 7.8635
_cell_angle_alpha 90.00
_cell_angle_beta 120.66
_cell_angle_gamma 90.00
loop_
_symmetry_equiv_pos_as_xyz
'x,y,z'
'-x,-y,-z'
'-x,y,-z+1/2'
'x,-y,z+1/2'
'x+1/2,y+1/2,z'
'-x+1/2,-y+1/2,-z'
'-x+1/2,y+1/2,-z+1/2'
'x+1/2,-y+1/2,z+1/2'
loop_
_atom_site_label
_atom_site_fract_x
_atom_site_fract_y
_atom_site_fract_z
Mn1 0.0000 0.0000 0.0000
Mn2 0.2500 0.2500 0.0000
Co1 0.0000 0.4125 0.2500
F1 0.0000 0.1397 0.7500
F2 0.0947 0.2395 0.1246
F3 0.2437 0.4908 0.4289
```

VASP energy = -5.778 eV/atom
total magnetization = 1.519 μB/atom


(16)
Compound: Mn3CoF
Source: Alexandria
Functional: GGA+U
Structure: relaxed

CIF file:
```
data_Mn3CoF
_symmetry_space_group_name_H-M 'P m -3 m'
_symmetry_Int_Tables_number 221
_symmetry_space_group_name_Hall '-P 4 2 3'
_cell_length_a 4.6641
_cell_length_b 4.6641
_cell_length_c 4.6641
_cell_angle_alpha 90.00
_cell_angle_beta 90.00
_cell_angle_gamma 90.00
loop_
_atom_site_label
_atom_site_fract_x
_atom_site_fract_y
_atom_site_fract_z
Mn1 0.0000 0.0000 0.5000
Co1 0.0000 0.0000 0.0000
F1 0.5000 0.5000 0.5000
```

VASP energy = -5.254 eV/atom
total magnetization = 2.941 μB/atom


(17)
Compound: Mn3CoF
Source: Alexandria
Functional: GGA+U
Structure: relaxed

CIF file:
```
data_Mn3CoF
_symmetry_space_group_name_H-M 'P m -3 m'
_symmetry_Int_Tables_number 221
_symmetry_space_group_name_Hall '-P 4 2 3'
_cell_length_a 4.3784
_cell_length_b 4.3784
_cell_length_c 4.3784
_cell_angle_alpha 90.00
_cell_angle_beta 90.00
_cell_angle_gamma 90.00
loop_
_atom_site_label
_atom_site_fract_x
_atom_site_fract_y
_atom_site_fract_z
Mn1 0.0000 0.0000 0.5000
Co1 0.5000 0.5000 0.5000
F1 0.0000 0.0000 0.0000
```

VASP energy = -5.774 eV/atom
total magnetization = 3.162 μB/atom


(18)
Compound: MnCo2F6
Source: Alexandria
Functional: GGA+U
Structure: relaxed

CIF file:
```
data_MnCo2F6
_symmetry_space_group_name_H-M 'R 3'
_symmetry_Int_Tables_number 146
_symmetry_space_group_name_Hall 'R 3'
_cell_length_a 5.4366
_cell_length_b 5.4366
_cell_length_c 14.2916
_cell_angle_alpha 90.00
_cell_angle_beta 90.00
_cell_angle_gamma 120.00
loop_
_atom_site_label
_atom_site_fract_x
_atom_site_fract_y
_atom_site_fract_z
Mn1 0.0000 0.0000 0.0000
Co1 0.0000 0.0000 0.4941
Co2 0.0000 0.0000 0.6956
F1 0.0108 0.3377 0.0880
F2 0.0344 0.6321 0.2621
```

VASP energy = -5.458 eV/atom
total magnetization = 1.214 μB/atom


(19)
Compound: Mn2CoF6
Source: Alexandria
Functional: GGA+U
Structure: relaxed

CIF file:
```
data_Mn2CoF6
_symmetry_space_group_name_H-M 'R 3'
_symmetry_Int_Tables_number 146
_symmetry_space_group_name_Hall 'R 3'
_cell_length_a 5.4593
_cell_length_b 5.4593
_cell_length_c 14.8700
_cell_angle_alpha 90.00
_cell_angle_beta 90.00
_cell_angle_gamma 120.00
loop_
_atom_site_label
_atom_site_fract_x
_atom_site_fract_y
_atom_site_fract_z
Mn1 0.0000 0.0000 0.0000
Mn2 0.0000 0.0000 0.2017
Co1 0.0000 0.0000 0.5034
F1 0.0064 0.3629 0.2548
F2 0.0183 0.6077 0.7667
```

VASP energy = -5.914 eV/atom
total magnetization = 1.430 μB/atom


(20)
Compound: MnCo2F
Source: Alexandria
Functional: GGA+U
Structure: relaxed

CIF file:
```
data_MnCo2F
_symmetry_space_group_name_H-M 'F m -3 m'
_symmetry_Int_Tables_number 225
_symmetry_space_group_name_Hall '-F 4 2 3'
_cell_length_a 5.9179
_cell_length_b 5.9179
_cell_length_c 5.9179
_cell_angle_alpha 90.00
_cell_angle_beta 90.00
_cell_angle_gamma 90.00
loop_
_atom_site_label
_atom_site_fract_x
_atom_site_fract_y
_atom_site_fract_z
Mn1 0.0000 0.0000 0.0000
Co1 0.2500 0.2500 0.2500
F1 0.0000 0.0000 0.5000
```

VASP energy = -4.082 eV/atom
total magnetization = 1.987 μB/atom


(21)
Compound: MnCo2F
Source: Alexandria
Functional: GGA+U
Structure: relaxed

CIF file:
```
data_MnCo2F
_symmetry_space_group_name_H-M 'I -4 2 d'
_symmetry_Int_Tables_number 122
_symmetry_space_group_name_Hall 'I -4 2bw'
_cell_length_a 7.0962
_cell_length_b 7.0962
_cell_length_c 4.6144
_cell_angle_alpha 90.00
_cell_angle_beta 90.00
_cell_angle_gamma 90.00
loop_
_atom_site_label
_atom_site_fract_x
_atom_site_fract_y
_atom_site_fract_z
Mn1 0.0000 0.0000 0.0000
Co1 0.1831 0.2500 0.6250
F1 0.0000 0.0000 0.5000
```

VASP energy = -4.845 eV/atom
total magnetization = 2.209 μB/atom


(22)
Compound: MnCoF2
Source: Alexandria
Functional: GGA+U
Structure: relaxed

CIF file:
```
data_MnCoF2
_symmetry_space_group_name_H-M 'R -3 m'
_symmetry_Int_Tables_number 166
_symmetry_space_group_name_Hall '-R 3 2"'
_cell_length_a 3.1891
_cell_length_b 3.1891
_cell_length_c 22.6948
_cell_angle_alpha 90.00
_cell_angle_beta 90.00
_cell_angle_gamma 120.00
loop_
_atom_site_label
_atom_site_fract_x
_atom_site_fract_y
_atom_site_fract_z
Mn1 0.0000 0.0000 0.0000
Co1 0.0000 0.0000 0.5000
F1 0.0000 0.0000 0.3800
```

VASP energy = -5.337 eV/atom
total magnetization = 1.842 μB/atom


(23)
Compound: MnCo2MoF
Source: Alexandria
Functional: GGA+U
Structure: relaxed

CIF file:
```
data_MnCo2MoF
_symmetry_space_group_name_H-M 'P 4/m m m'
_symmetry_Int_Tables_number 123
_symmetry_space_group_name_Hall '-P 4 2'
_cell_length_a 5.0361
_cell_length_b 5.0361
_cell_length_c 3.7854
_cell_angle_alpha 90.00
_cell_angle_beta 90.00
_cell_angle_gamma 90.00
loop_
_atom_site_label
_atom_site_fract_x
_atom_site_fract_y
_atom_site_fract_z
Mn1 0.0000 0.0000 0.0000
Co1 0.0000 0.5000 0.0000
Mo1 0.5000 0.5000 0.5000
F1 0.0000 0.0000 0.5000
```

VASP energy = -4.613 eV/atom
total magnetization = 0.991 μB/atom


(24)
Compound: MnCoN2F
Source: Alexandria
Functional: GGA+U
Structure: relaxed

CIF file:
```
data_MnCoN2F
_symmetry_space_group_name_H-M 'P 4/m m m'
_symmetry_Int_Tables_number 123
_symmetry_space_group_name_Hall '-P 4 2'
_cell_length_a 3.8507
_cell_length_b 3.8507
_cell_length_c 3.8913
_cell_angle_alpha 90.00
_cell_angle_beta 90.00
_cell_angle_gamma 90.00
loop_
_atom_site_label
_atom_site_fract_x
_atom_site_fract_y
_atom_site_fract_z
Mn1 0.0000 0.0000 0.0000
Co1 0.5000 0.5000 0.5000
N1 0.0000 0.5000 0.0000
F1 0.0000 0.0000 0.5000
```

VASP energy = -5.681 eV/atom
total magnetization = 1.047 μB/atom